Record 1
VASP calculation (PBE) on crystalline LiTcAs2O8 at its relaxed geometry.

The structure in POSCAR format:
```
LiTcAs2O8
1.0
5.621 0.102 0.000
-2.401 5.083 0.000
-1.610 -2.593 4.721
Li Tc As O
1 1 2 8
Direct
0.000 0.000 0.000
0.250 0.750 0.500
0.750 0.250 0.500
0.500 0.500 0.000
0.367 0.052 0.315
0.317 0.515 0.198
0.317 0.118 0.802
0.737 0.052 0.685
0.882 0.683 0.198
0.948 0.263 0.315
0.948 0.633 0.685
0.485 0.683 0.802
```

Results
The volume comes out at 11.34 A^3/atom. The total energy comes out at -74.23 eV for the cell shown. Its space-group type is I-4m2, No. 119.

=====

Record 2
VASP calculation (PBE) on crystalline Li2ThAs2O8 at its relaxed geometry.

The structure in POSCAR format:
```
Li2ThAs2O8
1.0
5.719 0.021 0.000
-2.557 8.818 0.000
0.000 0.000 13.980
Li Th As O
8 4 8 32
Direct
0.086 0.897 0.748
0.414 0.103 0.248
0.914 0.103 0.252
0.586 0.897 0.752
0.786 0.766 0.565
0.714 0.234 0.065
0.214 0.234 0.435
0.286 0.766 0.935
0.567 0.377 0.636
0.933 0.623 0.136
0.433 0.623 0.364
0.067 0.377 0.864
0.910 0.143 0.624
0.590 0.857 0.124
0.090 0.857 0.376
0.410 0.143 0.876
0.223 0.626 0.633
0.277 0.374 0.133
0.777 0.374 0.367
0.723 0.626 0.867
0.265 0.492 0.716
0.235 0.508 0.216
0.735 0.508 0.284
0.765 0.492 0.784
0.196 0.219 0.576
0.304 0.781 0.076
0.804 0.781 0.424
0.696 0.219 0.924
0.851 0.235 0.727
0.649 0.765 0.227
0.149 0.765 0.273
0.351 0.235 0.773
0.295 0.799 0.683
0.205 0.201 0.183
0.705 0.201 0.317
0.795 0.799 0.817
0.704 0.192 0.551
0.796 0.808 0.051
0.296 0.808 0.449
0.204 0.192 0.949
0.447 0.601 0.555
0.053 0.399 0.055
0.553 0.399 0.445
0.947 0.601 0.945
0.928 0.577 0.593
0.572 0.423 0.093
0.072 0.423 0.407
0.428 0.577 0.907
0.861 0.955 0.649
0.639 0.045 0.149
0.139 0.045 0.351
0.361 0.955 0.851
```

Results
The volume comes out at 13.57 A^3/atom. The total energy comes out at -350.72 eV for the cell shown. Its space-group type is P2_1/c, No. 14.

=====

Record 3
VASP calculation (PBE) on crystalline LiThAs2O8 at its relaxed geometry.

The structure in POSCAR format:
```
LiThAs2O8
1.0
-3.240 1.765 -3.582
2.254 -2.999 -3.517
-3.164 -3.582 4.787
Li Th As O
1 1 2 8
Direct
0.000 0.000 0.000
0.750 0.250 0.500
0.500 0.500 0.000
0.250 0.750 0.500
0.723 0.828 0.163
0.441 0.336 0.163
0.578 0.686 0.657
0.079 0.971 0.657
0.029 0.422 0.343
0.314 0.921 0.343
0.172 0.559 0.837
0.664 0.277 0.837
```

Results
The volume comes out at 12.57 A^3/atom. The total energy comes out at -80.56 eV for the cell shown. Its space-group type is I-4, No. 82.